1.
Here is Ca2SbOs at its PBEsol-relaxed geometry from Alexandria via LeMat-Bulk. Energies are from meta-GGA SCAN.

Summary:
- formation energy from raw total energies (eV/atom) = -0.164

a b c (Å): 4.296 4.419 10.826
angles (deg): 90.00 90.00 90.00
Space group Amm2 (No. 38)
One atom of each set of equivalent atoms:
Ca 0.000 0.000 0.000 [2 per cell]
Ca 0.500 0.000 0.286 [2 per cell]
Sb 0.500 0.000 0.582 [2 per cell]
Os 0.000 0.000 0.711 [2 per cell]

---

2.
Here is GeTe2O2 at its PBEsol-relaxed geometry from Alexandria via LeMat-Bulk. Energies are from meta-GGA SCAN.

Summary:
- formation energy from raw total energies (eV/atom) = 0.758

a b c (Å): 3.963 3.963 11.726
angles (deg): 90.00 90.00 90.00
Space group I4/mmm (No. 139)
One atom of each set of equivalent atoms:
Ge 0.000 0.000 0.000 [2 per cell]
Te 0.000 0.500 0.250 [4 per cell]
O 0.000 0.000 0.393 [4 per cell]

---

3.
Here is MgHgGeN2 at its PBEsol-relaxed geometry from Alexandria via LeMat-Bulk. Energies are from meta-GGA SCAN.

Summary:
- formation energy from raw total energies (eV/atom) = 0.973

a b c (Å): 3.808 3.808 5.491
angles (deg): 90.00 90.00 90.00
Space group P4/mmm (No. 123)
One atom of each set of equivalent atoms:
Mg 0.000 0.000 0.000 [1 per cell]
Hg 0.500 0.500 0.000 [1 per cell]
Ge 0.500 0.500 0.500 [1 per cell]
N 0.000 0.500 0.500 [2 per cell]

---

4.
Here is LiMgSc2 at its PBEsol-relaxed geometry from Alexandria via LeMat-Bulk. Energies are from meta-GGA SCAN.

Summary:
- energy of formation (eV/atom) = 0.030

a b c (Å): 4.468 4.478 8.942
angles (deg): 90.00 90.00 90.00
Space group Cmm2 (No. 35)
One atom of each set of equivalent atoms:
Li 0.000 0.000 0.000 [2 per cell]
Mg 0.000 0.500 0.771 [2 per cell]
Sc 0.000 0.000 0.511 [2 per cell]
Sc 0.000 0.500 0.259 [2 per cell]

---

Which V belongs to each record? In order, 205.5 184.1 79.6 178.9 Å³ per cell.
Which DOS(E_F) belongs to each record? In order, 6.0 4.1 1.9 7.0 states/eV/cell.